Material: ErNpSeN2
Method: DFT, PBE-GGA
State: optimized geometry

a = 3.804 Å, b = 3.804 Å, c = 6.614 Å
α = 106.71°, β = 106.71°, γ = 90.00°
Sites, in units of the cell vectors:
N1 0.245 0.745 0.490
Se1 0.502 0.502 0.004
Np1 0.162 0.162 0.325
N2 0.745 0.245 0.490
Er1 0.846 0.846 0.692

Uncorrected energy: -8.94 eV/atom



Material: SmEr2NpN4
Method: DFT, PBE-GGA
State: optimized geometry

a = 3.467 Å, b = 6.000 Å, c = 5.989 Å
α = 109.00°, β = 90.00°, γ = 90.00°
Sites, in units of the cell vectors:
N1 0.500 0.241 0.251
N2 0.500 0.759 0.749
Er1 0.000 0.500 0.500
Er2 0.500 0.000 0.500
N3 0.000 0.232 0.752
N4 0.000 0.768 0.248
Sm1 0.500 0.500 0.000
Np1 0.000 0.000 0.000

Uncorrected energy: -9.03 eV/atom



- Which of these has the lowest uncorrected energy?
  SmEr2NpN4



- uncorrected energy of number 2 (SmEr2NpN4)?
  -9.03 eV/atom



- Among the records above, which one has the highest uncorrected energy?
  ErNpSeN2